A geometry-optimized SmHgPt structure. Source: Alexandria, functional PBE-GGA.

Geometry as extended XYZ:
```
3
Lattice="4.747 0.000 0.000 -2.374 4.111 0.000 0.000 0.000 3.561" Properties=species:S:1:pos:R:3 pbc="T T T"
Sm 0.000 0.000 0.000
Hg 0.000 2.741 1.781
Pt 2.374 1.370 1.781
```

ΔE_f   -0.68 eV per atom
DFT total energy   -4.37 eV per atom
Crystal system   hexagonal